(1)
A plane-wave DFT calculation with PBEsol was carried out for crystalline Mg2Cu3Si at its relaxed geometry.

```
12
Lattice="-2.770 3.787 1.601 -1.371 -4.662 0.981 4.081 0.190 6.611" Properties=species:S:1:pos:R:3 pbc="T T T"
Mg -0.047 -1.762 4.086
Mg 1.527 1.149 7.599
Mg -0.012 1.077 5.106
Mg -1.586 -1.834 1.594
Cu 0.085 -1.223 6.835
Cu -1.514 2.410 3.149
Cu -2.191 0.106 3.634
Cu 2.132 -0.791 5.559
Cu 1.454 -3.095 6.044
Cu -0.145 0.539 2.358
Si 2.041 0.095 3.306
Si 0.000 0.000 0.000
```

Results
The calculation puts the density of states at the Fermi level at 2.929 states/eV/cell. Its total energy is -3.9583 eV per atom. The value obtained for the formation energy (no corrections) is -0.261 eV/atom. The calculated volume comes out at 165.4 Å³/cell.

(2)
A plane-wave DFT calculation with PBEsol was carried out for crystalline P2PbSe at its relaxed geometry.

```
4
Lattice="-2.155 1.365 -4.050 2.109 -4.247 -0.647 -3.241 -0.385 3.501" Properties=species:S:1:pos:R:3 pbc="T T T"
P -0.023 -1.441 -2.349
P -2.698 0.490 -0.275
Pb -0.566 -2.316 1.427
Se 0.000 0.000 0.000
```

Results
The calculation puts the density of states at the Fermi level at 2.106 states/eV/cell. Its total energy is -4.5948 eV per atom. The value obtained for the formation energy (no corrections) is 0.263 eV/atom. The calculated volume comes out at 84.4 Å³/cell. As for the energy relative to the lowest polymorph listed for this composition: 44 meV/atom.

(3)
A plane-wave DFT calculation with PBEsol was carried out for crystalline Y2AlIn at its relaxed geometry.

```
4
Lattice="3.616 0.000 0.000 0.000 3.618 0.000 0.000 0.000 7.338" Properties=species:S:1:pos:R:3 pbc="T T T"
Y 0.000 0.000 5.571
Y 0.000 0.000 1.766
Al 1.808 1.809 0.000
In 1.808 1.809 3.669
```

Results
The calculation puts the density of states at the Fermi level at 1.793 states/eV/cell. Its total energy is -5.6665 eV per atom. The value obtained for the formation energy is -47.0 kJ per mole of atoms. The calculated volume comes out at 96.0 Å³/cell.

(4)
A plane-wave DFT calculation with PBEsol was carried out for crystalline ZrPtRh at its relaxed geometry.

```
3
Lattice="2.847 0.000 0.000 0.000 4.449 0.000 0.000 -2.225 3.853" Properties=species:S:1:pos:R:3 pbc="T T T"
Pt 0.068 0.000 0.000
Rh 1.719 2.225 1.284
Zr 1.060 0.000 2.569
```

Results
The calculation puts the density of states at the Fermi level at 2.315 states/eV/cell. Its total energy is -8.6603 eV per atom. The value obtained for the formation energy is -57.5 kJ per mole of atoms. The calculated volume comes out at 48.8 Å³/cell. As for the energy relative to the lowest polymorph listed for this composition: 0 meV/atom.

(5)
A plane-wave DFT calculation with PBEsol was carried out for crystalline CaFeSe at its relaxed geometry.

```
3
Lattice="-1.746 2.465 2.628 -3.210 0.326 -2.438 0.120 -2.908 2.808" Properties=species:S:1:pos:R:3 pbc="T T T"
Ca 0.000 0.000 0.000
Fe -1.863 -0.597 2.373
Se -2.973 0.480 0.625
```

Results
The calculation puts the density of states at the Fermi level at 2.005 states/eV/cell. Its total energy is -5.5784 eV per atom. The value obtained for the formation energy (no corrections) is -0.596 eV/atom. The calculated volume comes out at 56.7 Å³/cell.

(6)
A plane-wave DFT calculation with PBEsol was carried out for crystalline HfPt3I at its relaxed geometry.

```
5
Lattice="-3.600 -3.358 -0.037 2.058 -2.249 3.866 -2.654 2.811 3.048" Properties=species:S:1:pos:R:3 pbc="T T T"
I -2.098 -1.398 3.439
Hf 0.000 0.000 0.000
Pt 1.029 -1.124 1.933
Pt -1.327 1.406 1.524
Pt -1.800 -1.679 -0.018
```

Results
The calculation puts the density of states at the Fermi level at 3.944 states/eV/cell. Its total energy is -5.7595 eV per atom. The value obtained for the formation energy (no corrections) is 0.873 eV/atom. The calculated volume comes out at 119.3 Å³/cell.

(7)
A plane-wave DFT calculation with PBEsol was carried out for crystalline ScTcAu2 at its relaxed geometry.

```
4
Lattice="-0.804 2.234 3.241 -2.351 -2.926 1.433 4.822 -1.308 -0.392" Properties=species:S:1:pos:R:3 pbc="T T T"
Au 0.000 0.000 0.000
Au 1.220 0.290 2.593
Sc -1.577 -0.346 2.337
Tc 0.447 -2.290 1.689
```

Results
The calculation puts the density of states at the Fermi level at 4.619 states/eV/cell. Its total energy is -6.5839 eV per atom. The value obtained for the formation energy is -14.9 kJ per mole of atoms. The calculated volume comes out at 66.6 Å³/cell.

(8)
A plane-wave DFT calculation with PBEsol was carried out for crystalline Ir2PdI at its relaxed geometry.

```
8
Lattice="-2.643 -1.674 2.235 -1.309 -1.976 -3.028 8.028 -5.149 2.329" Properties=species:S:1:pos:R:3 pbc="T T T"
I 2.371 -4.475 -0.547
I 0.000 0.000 0.000
Ir -0.190 -3.682 -1.178
Ir -0.736 -3.455 1.352
Ir 5.497 -4.363 1.579
Ir 3.581 -6.098 1.321
Pd 1.705 -4.324 2.084
Pd -1.976 -1.825 -0.396
```

Results
The calculation puts the density of states at the Fermi level at 9.592 states/eV/cell. Its total energy is -6.0602 eV per atom. The value obtained for the formation energy (no corrections) is 0.783 eV/atom. The calculated volume comes out at 139.5 Å³/cell.

(9)
A plane-wave DFT calculation with PBEsol was carried out for crystalline MgNiAs2Se at its relaxed geometry.

```
5
Lattice="-2.085 -3.250 2.225 2.381 0.965 3.641 -3.591 3.311 1.470" Properties=species:S:1:pos:R:3 pbc="T T T"
Ni 0.000 0.000 0.000
As 1.191 0.483 1.821
As -1.043 -1.625 1.113
Mg -1.647 0.513 3.669
Se -1.795 1.655 0.735
```

Results
The calculation puts the density of states at the Fermi level at 4.169 states/eV/cell. Its total energy is -4.2474 eV per atom. The value obtained for the formation energy (no corrections) is 0.140 eV/atom. The calculated volume comes out at 101.3 Å³/cell.

(10)
A plane-wave DFT calculation with PBEsol was carried out for crystalline TlCuHg2 at its relaxed geometry.

```
4
Lattice="-1.742 2.486 -0.677 -1.085 0.373 4.162 6.577 2.461 -0.745" Properties=species:S:1:pos:R:3 pbc="T T T"
Cu 1.657 3.147 0.150
Hg 0.736 0.555 0.142
Hg 2.020 2.117 2.576
Tl 4.501 3.391 0.869
```

Results
The calculation puts the density of states at the Fermi level at 1.470 states/eV/cell. Its total energy is -1.9159 eV per atom. The value obtained for the formation energy is 10.5 kJ per mole of atoms. The calculated volume comes out at 87.8 Å³/cell.

(11)
A plane-wave DFT calculation with PBEsol was carried out for crystalline PmAs3 at its relaxed geometry.

```
4
Lattice="4.354 0.000 0.000 0.000 4.354 0.000 0.000 0.000 4.354" Properties=species:S:1:pos:R:3 pbc="T T T"
As 0.000 2.177 2.177
As 2.177 0.000 2.177
As 2.177 2.177 0.000
Pm 0.000 0.000 0.000
```

Results
The calculation puts the density of states at the Fermi level at 1.934 states/eV/cell. Its total energy is -5.7015 eV per atom. The value obtained for the formation energy is -56.7 kJ per mole of atoms. The calculated volume comes out at 82.6 Å³/cell. As for the energy relative to the lowest polymorph listed for this composition: 0 meV/atom.

(12)
A plane-wave DFT calculation with PBEsol was carried out for crystalline BeMoH2 at its relaxed geometry.

```
8
Lattice="-0.547 -2.829 2.670 1.846 -2.563 -2.337 2.794 3.630 1.529" Properties=species:S:1:pos:R:3 pbc="T T T"
Be 1.448 -0.948 2.183
Be 0.649 -2.696 0.167
Mo 2.644 -0.814 -0.321
Mo 0.000 0.000 0.000
H 0.940 -2.382 1.703
H 2.080 -2.543 -0.522
H 2.811 -0.514 1.477
H 2.354 1.915 1.067
```

Results
The calculation puts the density of states at the Fermi level at 2.258 states/eV/cell. Its total energy is -5.3669 eV per atom. The calculated volume comes out at 61.0 Å³/cell.